1.
# GGA-PBEsol Hf2AlAsO, relaxed
data_Hf2AlAsO
_chemical_formula_sum 'Hf2 Al1 As1 O1'
_cell_length_a 4.9222
_cell_length_b 4.9222
_cell_length_c 4.4360
_cell_angle_alpha 90.00
_cell_angle_beta 90.00
_cell_angle_gamma 90.00
_space_group_name_H-M_alt 'P 1'
_space_group_IT_number 1
loop_
_space_group_symop_operation_xyz
'x,y,z'
loop_
_atom_site_label
_atom_site_type_symbol
_atom_site_fract_x
_atom_site_fract_y
_atom_site_fract_z
Hf1 Hf 0.0000 0.5000 0.0000
Hf2 Hf 0.5000 0.0000 0.0000
Al1 Al 0.0000 0.0000 0.5000
As1 As 0.0000 0.0000 0.0000
O1 O 0.5000 0.5000 0.5000
# E_tot (eV per atom): -6.258

2.
# GGA-PBEsol Li2MoH2, relaxed
data_Li2MoH2
_chemical_formula_sum 'Li2 Mo1 H2'
_cell_length_a 5.2157
_cell_length_b 5.2157
_cell_length_c 5.2157
_cell_angle_alpha 147.39
_cell_angle_beta 147.39
_cell_angle_gamma 46.78
_space_group_name_H-M_alt 'P 1'
_space_group_IT_number 1
loop_
_space_group_symop_operation_xyz
'x,y,z'
loop_
_atom_site_label
_atom_site_type_symbol
_atom_site_fract_x
_atom_site_fract_y
_atom_site_fract_z
Li1 Li 0.2500 0.7500 0.5000
Li2 Li 0.7500 0.2500 0.5000
Mo1 Mo 0.0000 0.0000 0.0000
H1 H 0.4014 0.4014 0.0000
H2 H 0.5986 0.5986 0.0000
# E_tot (eV per atom): -3.953

3.
# GGA-PBEsol Ru7Pt, relaxed
data_Ru7Pt
_chemical_formula_sum 'Ru7 Pt1'
_cell_length_a 5.3465
_cell_length_b 5.3465
_cell_length_c 5.3465
_cell_angle_alpha 60.00
_cell_angle_beta 60.00
_cell_angle_gamma 60.00
_space_group_name_H-M_alt 'P 1'
_space_group_IT_number 1
loop_
_space_group_symop_operation_xyz
'x,y,z'
loop_
_atom_site_label
_atom_site_type_symbol
_atom_site_fract_x
_atom_site_fract_y
_atom_site_fract_z
Ru1 Ru 0.0000 0.0000 0.0000
Ru2 Ru 0.0000 0.0000 0.5000
Ru3 Ru 0.0000 0.5000 0.0000
Ru4 Ru 0.0000 0.5000 0.5000
Ru5 Ru 0.5000 0.0000 0.0000
Ru6 Ru 0.5000 0.0000 0.5000
Ru7 Ru 0.5000 0.5000 0.0000
Pt1 Pt 0.5000 0.5000 0.5000
# Formation enthalpy at 0 K (eV/atom): 0.09

4.
# GGA-PBEsol TaCu2P, relaxed
data_TaCu2P
_chemical_formula_sum 'Ta1 Cu2 P1'
_cell_length_a 4.6128
_cell_length_b 4.6128
_cell_length_c 4.6128
_cell_angle_alpha 132.15
_cell_angle_beta 132.15
_cell_angle_gamma 69.99
_space_group_name_H-M_alt 'P 1'
_space_group_IT_number 1
loop_
_space_group_symop_operation_xyz
'x,y,z'
loop_
_atom_site_label
_atom_site_type_symbol
_atom_site_fract_x
_atom_site_fract_y
_atom_site_fract_z
Ta1 Ta 0.0000 0.0000 0.0000
Cu1 Cu 0.5000 0.5000 0.0000
Cu2 Cu 0.7500 0.2500 0.5000
P1 P 0.2500 0.7500 0.5000
# Formation enthalpy at 0 K (eV/atom): 0.06

5.
# GGA-PBEsol LiY3As, relaxed
data_LiY3As
_chemical_formula_sum 'Li1 Y3 As1'
_cell_length_a 4.9810
_cell_length_b 4.9810
_cell_length_c 4.9810
_cell_angle_alpha 90.00
_cell_angle_beta 90.00
_cell_angle_gamma 90.00
_space_group_name_H-M_alt 'P 1'
_space_group_IT_number 1
loop_
_space_group_symop_operation_xyz
'x,y,z'
loop_
_atom_site_label
_atom_site_type_symbol
_atom_site_fract_x
_atom_site_fract_y
_atom_site_fract_z
Li1 Li 0.0000 0.0000 0.0000
Y1 Y 0.0000 0.0000 0.5000
Y2 Y 0.0000 0.5000 0.0000
Y3 Y 0.5000 0.0000 0.0000
As1 As 0.5000 0.5000 0.5000
# Formation enthalpy at 0 K (eV/atom): 0.23

6.
# GGA-PBEsol TmLuTl2, relaxed
data_TmLuTl2
_chemical_formula_sum 'Tm1 Lu1 Tl2'
_cell_length_a 5.1924
_cell_length_b 5.1924
_cell_length_c 5.1924
_cell_angle_alpha 60.00
_cell_angle_beta 60.00
_cell_angle_gamma 60.00
_space_group_name_H-M_alt 'P 1'
_space_group_IT_number 1
loop_
_space_group_symop_operation_xyz
'x,y,z'
loop_
_atom_site_label
_atom_site_type_symbol
_atom_site_fract_x
_atom_site_fract_y
_atom_site_fract_z
Tm1 Tm 0.0000 0.0000 0.0000
Lu1 Lu 0.5000 0.5000 0.5000
Tl1 Tl 0.2500 0.2500 0.2500
Tl2 Tl 0.7500 0.7500 0.7500
# Formation enthalpy at 0 K (eV/atom): -0.36

7.
# GGA-PBEsol RbTcAg3, relaxed
data_RbTcAg3
_chemical_formula_sum 'Rb1 Tc1 Ag3'
_cell_length_a 5.1689
_cell_length_b 5.1689
_cell_length_c 5.1689
_cell_angle_alpha 90.00
_cell_angle_beta 90.00
_cell_angle_gamma 90.00
_space_group_name_H-M_alt 'P 1'
_space_group_IT_number 1
loop_
_space_group_symop_operation_xyz
'x,y,z'
loop_
_atom_site_label
_atom_site_type_symbol
_atom_site_fract_x
_atom_site_fract_y
_atom_site_fract_z
Rb1 Rb 0.0000 0.0000 0.0000
Tc1 Tc 0.5000 0.5000 0.5000
Ag1 Ag 0.0000 0.5000 0.5000
Ag2 Ag 0.5000 0.0000 0.5000
Ag3 Ag 0.5000 0.5000 0.0000
# ΔE to the lowest computed polymorph (meV per atom): 0
# Formation enthalpy at 0 K (eV/atom): 1.09

8.
# GGA-PBEsol BaHSe2, relaxed
data_BaHSe2
_chemical_formula_sum 'Ba2 H2 Se4'
_cell_length_a 7.6361
_cell_length_b 7.6361
_cell_length_c 7.6361
_cell_angle_alpha 139.00
_cell_angle_beta 139.00
_cell_angle_gamma 59.38
_space_group_name_H-M_alt 'P 1'
_space_group_IT_number 1
loop_
_space_group_symop_operation_xyz
'x,y,z'
loop_
_atom_site_label
_atom_site_type_symbol
_atom_site_fract_x
_atom_site_fract_y
_atom_site_fract_z
Ba1 Ba 0.3750 0.6250 0.7500
Ba2 Ba 0.6250 0.3750 0.2500
H1 H 0.1250 0.8750 0.2500
H2 H 0.8750 0.1250 0.7500
Se1 Se 0.0000 0.0000 0.0000
Se2 Se 0.0000 0.0000 0.5000
Se3 Se 0.0000 0.5000 0.0000
Se4 Se 0.5000 0.0000 0.5000
# E_tot (eV per atom): -3.894

9.
# GGA-PBEsol KZnAu2, relaxed
data_KZnAu2
_chemical_formula_sum 'K1 Zn1 Au2'
_cell_length_a 4.5462
_cell_length_b 4.5462
_cell_length_c 6.3388
_cell_angle_alpha 111.04
_cell_angle_beta 111.04
_cell_angle_gamma 59.89
_space_group_name_H-M_alt 'P 1'
_space_group_IT_number 1
loop_
_space_group_symop_operation_xyz
'x,y,z'
loop_
_atom_site_label
_atom_site_type_symbol
_atom_site_fract_x
_atom_site_fract_y
_atom_site_fract_z
K1 K 0.0000 0.0000 0.0000
Zn1 Zn 0.5000 0.5000 0.5000
Au1 Au 0.1869 0.1869 0.5609
Au2 Au 0.8131 0.8131 0.4391
# Formation enthalpy at 0 K (eV/atom): -0.21

10.
# GGA-PBEsol ScAuS2Cl, relaxed
data_ScAuS2Cl
_chemical_formula_sum 'Sc1 Au1 S2 Cl1'
_cell_length_a 4.7992
_cell_length_b 4.7992
_cell_length_c 4.7154
_cell_angle_alpha 90.00
_cell_angle_beta 90.00
_cell_angle_gamma 90.00
_space_group_name_H-M_alt 'P 1'
_space_group_IT_number 1
loop_
_space_group_symop_operation_xyz
'x,y,z'
loop_
_atom_site_label
_atom_site_type_symbol
_atom_site_fract_x
_atom_site_fract_y
_atom_site_fract_z
Sc1 Sc 0.0000 0.0000 0.0000
Au1 Au 0.5000 0.5000 0.5000
S1 S 0.0000 0.5000 0.5000
S2 S 0.5000 0.0000 0.5000
Cl1 Cl 0.5000 0.5000 0.0000
# E_tot (eV per atom): -4.378

11.
# GGA-PBEsol ZnSiBr3, relaxed
data_ZnSiBr3
_chemical_formula_sum 'Zn1 Si1 Br3'
_cell_length_a 5.0912
_cell_length_b 5.0912
_cell_length_c 5.0912
_cell_angle_alpha 90.00
_cell_angle_beta 90.00
_cell_angle_gamma 90.00
_space_group_name_H-M_alt 'P 1'
_space_group_IT_number 1
loop_
_space_group_symop_operation_xyz
'x,y,z'
loop_
_atom_site_label
_atom_site_type_symbol
_atom_site_fract_x
_atom_site_fract_y
_atom_site_fract_z
Zn1 Zn 0.0000 0.0000 0.0000
Si1 Si 0.5000 0.5000 0.5000
Br1 Br 0.0000 0.5000 0.5000
Br2 Br 0.5000 0.0000 0.5000
Br3 Br 0.5000 0.5000 0.0000
# E_tot (eV per atom): -2.642

12.
# GGA-PBEsol KCaP3H6O12, relaxed
data_KCaP3H6O12
_chemical_formula_sum 'K4 Ca4 P12 H24 O48'
_cell_length_a 7.2455
_cell_length_b 11.9456
_cell_length_c 12.5485
_cell_angle_alpha 90.00
_cell_angle_beta 110.20
_cell_angle_gamma 90.00
_space_group_name_H-M_alt 'P 1'
_space_group_IT_number 1
loop_
_space_group_symop_operation_xyz
'x,y,z'
loop_
_atom_site_label
_atom_site_type_symbol
_atom_site_fract_x
_atom_site_fract_y
_atom_site_fract_z
K1 K 0.2221 0.0931 0.1001
K2 K 0.2221 0.4069 0.6001
K3 K 0.7779 0.5931 0.3999
K4 K 0.7779 0.9069 0.8999
Ca1 Ca 0.1077 0.7333 0.6816
Ca2 Ca 0.1077 0.7667 0.1816
Ca3 Ca 0.8923 0.2333 0.8184
Ca4 Ca 0.8923 0.2667 0.3184
P1 P 0.2089 0.0071 0.8006
P2 P 0.2089 0.4929 0.3006
P3 P 0.2996 0.6669 0.4661
P4 P 0.2996 0.8331 0.9661
P5 P 0.3988 0.2253 0.8245
P6 P 0.3988 0.2747 0.3245
P7 P 0.6012 0.7253 0.6755
P8 P 0.6012 0.7747 0.1755
P9 P 0.7004 0.1669 0.0339
P10 P 0.7004 0.3331 0.5339
P11 P 0.7911 0.5071 0.6994
P12 P 0.7911 0.9929 0.1994
H1 H 0.0063 0.7001 0.9420
H2 H 0.0063 0.7999 0.4420
H3 H 0.1579 0.1325 0.5222
H4 H 0.1579 0.3675 0.0222
H5 H 0.2248 0.5301 0.0866
H6 H 0.2248 0.9699 0.5866
H7 H 0.2759 0.0665 0.3299
H8 H 0.2759 0.4335 0.8299
H9 H 0.2779 0.5130 0.9683
H10 H 0.2779 0.9870 0.4683
H11 H 0.4642 0.5143 0.8769
H12 H 0.4642 0.9857 0.3769
H13 H 0.5358 0.0143 0.6231
H14 H 0.5358 0.4857 0.1231
H15 H 0.7221 0.0130 0.5317
H16 H 0.7221 0.4870 0.0317
H17 H 0.7241 0.5665 0.1701
H18 H 0.7241 0.9335 0.6701
H19 H 0.7752 0.0301 0.4134
H20 H 0.7752 0.4699 0.9134
H21 H 0.8421 0.6325 0.9778
H22 H 0.8421 0.8675 0.4778
H23 H 0.9937 0.2001 0.5580
H24 H 0.9937 0.2999 0.0580
O1 O 0.0693 0.0626 0.8486
O2 O 0.0693 0.4374 0.3486
O3 O 0.0739 0.2025 0.5080
O4 O 0.0739 0.2975 0.0080
O5 O 0.1333 0.5644 0.1968
O6 O 0.1333 0.9356 0.6968
O7 O 0.1884 0.7479 0.8805
O8 O 0.1884 0.7521 0.3805
O9 O 0.2035 0.6218 0.5455
O10 O 0.2035 0.8782 0.0455
O11 O 0.2076 0.2129 0.2973
O12 O 0.2076 0.2871 0.7973
O13 O 0.2916 0.0176 0.5460
O14 O 0.2916 0.4824 0.0460
O15 O 0.3160 0.5133 0.8441
O16 O 0.3160 0.9867 0.3441
O17 O 0.3591 0.0968 0.7810
O18 O 0.3591 0.4032 0.2810
O19 O 0.3661 0.5651 0.4021
O20 O 0.3661 0.9349 0.9021
O21 O 0.4494 0.7288 0.2188
O22 O 0.4494 0.7712 0.7188
O23 O 0.4833 0.2123 0.9620
O24 O 0.4833 0.2877 0.4620
O25 O 0.5167 0.7123 0.5380
O26 O 0.5167 0.7877 0.0380
O27 O 0.5506 0.2288 0.2812
O28 O 0.5506 0.2712 0.7812
O29 O 0.6339 0.0651 0.0979
O30 O 0.6339 0.4349 0.5979
O31 O 0.6409 0.5968 0.7190
O32 O 0.6409 0.9032 0.2190
O33 O 0.6840 0.0133 0.6559
O34 O 0.6840 0.4867 0.1559
O35 O 0.7084 0.5176 0.9540
O36 O 0.7084 0.9824 0.4540
O37 O 0.7924 0.7129 0.2027
O38 O 0.7924 0.7871 0.7027
O39 O 0.7965 0.1218 0.9545
O40 O 0.7965 0.3782 0.4545
O41 O 0.8116 0.2479 0.6195
O42 O 0.8116 0.2521 0.1195
O43 O 0.8667 0.0644 0.3032
O44 O 0.8667 0.4356 0.8032
O45 O 0.9261 0.7025 0.9920
O46 O 0.9261 0.7975 0.4920
O47 O 0.9307 0.5626 0.6514
O48 O 0.9307 0.9374 0.1514
# E_tot (eV per atom): -6.397